{"formula": "RbP5W3", "functional": "PBE", "state": "relaxed", "cell": [[5.385, 0.000, 0.000], [-2.692, 4.663, 0.000], [0.000, 0.000, 8.206]], "species": ["P", "W", "P", "P", "P", "W", "P", "Rb", "W"], "frac_coords": [[0.000, 0.000, 0.500], [0.000, 0.500, 0.500], [0.667, 0.333, 0.259], [0.333, 0.667, 0.259], [0.333, 0.667, 0.741], [0.500, 0.500, 0.500], [0.667, 0.333, 0.741], [0.000, 0.000, 0.000], [0.500, 0.000, 0.500]], "spacegroup": "P6/mmm, No. 191", "magmom_total_mub_per_cell": 0.0, "volume_a3_per_cell": 206.0, "dft_energy_ev_per_atom": -7.40}